1.
Here is a relaxed Sr6PuO8 crystal from Alexandria via LeMat-Bulk. Energies are from PBE-GGA.

Lattice parameters (Å, degrees): 10.329 10.329 10.329 90.00 90.00 90.00
Space group Fm-3m (No. 225)
One atom of each set of equivalent atoms:
1 Sr 0.000 0.250 0.250 [24 per cell]
2 Pu 0.000 0.000 0.000 [4 per cell]
3 O 0.000 0.000 0.218 [24 per cell]
4 O 0.250 0.250 0.250 [8 per cell]

## Properties
**Formation energy without anion corrections**: -2.81 eV/atom
**Magnetization**: 16.0 Bohr magnetons per cell
**Fermi-level density of states**: 1.75 states/eV/f.u.
**ρ**: 5.41 Mg/m³

***

2.
Here is a relaxed Sr4PuO5 crystal from Alexandria via LeMat-Bulk. Energies are from PBE-GGA.

Lattice parameters (Å, degrees): 8.148 8.148 5.210 90.00 90.00 90.00
Space group I4 (No. 79)
One atom of each set of equivalent atoms:
1 Sr 0.100 0.700 0.000 [8 per cell]
2 Pu 0.000 0.000 0.515 [2 per cell]
3 O 0.000 0.000 0.954 [2 per cell]
4 O 0.095 0.712 0.497 [8 per cell]

## Properties
**Formation energy without anion corrections**: -2.61 eV/atom
**Magnetization**: 11.9 Bohr magnetons per cell
**Fermi-level density of states**: 10.10 states/eV/f.u.
**ρ**: 6.48 Mg/m³

***

3.
Here is a relaxed Sr5PuO8 crystal from Alexandria via LeMat-Bulk. Energies are from PBE-GGA.

Lattice parameters (Å, degrees): 7.519 7.519 7.737 90.00 90.00 90.00
Space group I-4 (No. 82)
One atom of each set of equivalent atoms:
1 Sr 0.000 0.000 0.000 [2 per cell]
2 Sr 0.130 0.733 0.622 [8 per cell]
3 Pu 0.000 0.500 0.250 [2 per cell]
4 O 0.049 0.765 0.294 [8 per cell]
5 O 0.078 0.679 0.944 [8 per cell]

## Properties
**Formation energy without anion corrections**: -2.61 eV/atom
**Magnetization**: 4.0 Bohr magnetons per cell
**Fermi-level density of states**: 6.25 states/eV/f.u.
**ρ**: 6.15 Mg/m³

***

4.
Here is a relaxed Sr4Pu6O19 crystal from Alexandria via LeMat-Bulk. Energies are from PBE-GGA.

Lattice parameters (Å, degrees): 9.976 9.976 9.976 90.00 90.00 90.00
Space group I23 (No. 197)
One atom of each set of equivalent atoms:
1 Sr 0.142 0.142 0.858 [8 per cell]
2 Pu 0.000 0.330 0.500 [12 per cell]
3 O 0.000 0.000 0.000 [2 per cell]
4 O 0.000 0.000 0.366 [12 per cell]
5 O 0.020 0.323 0.710 [24 per cell]

## Properties
**Formation energy without anion corrections**: -2.84 eV/atom
**Magnetization**: 36.0 Bohr magnetons per cell
**Fermi-level density of states**: 23.77 states/eV/f.u.
**ρ**: 7.09 Mg/m³

***

5.
Here is a relaxed SrPuO crystal from Alexandria via LeMat-Bulk. Energies are from PBE-GGA.

Lattice parameters (Å, degrees): 12.920 3.668 5.951 90.00 90.00 90.00
Space group Pnma (No. 62)
One atom of each set of equivalent atoms:
1 Sr 0.040 0.250 0.237 [4 per cell]
2 Pu 0.216 0.250 0.785 [4 per cell]
3 O 0.141 0.750 0.997 [4 per cell]

## Properties
**Formation energy without anion corrections**: -1.45 eV/atom
**Magnetization**: 25.8 Bohr magnetons per cell
**Fermi-level density of states**: 6.27 states/eV/f.u.
**ρ**: 8.19 Mg/m³

***

6.
Here is a relaxed Sr3Pu5O12 crystal from Alexandria via LeMat-Bulk. Energies are from PBE-GGA.

Lattice parameters (Å, degrees): 14.044 14.044 14.044 90.00 90.00 90.00
Space group Ia-3d (No. 230)
One atom of each set of equivalent atoms:
1 Sr 0.000 0.250 0.125 [24 per cell]
2 Pu 0.000 0.000 0.000 [16 per cell]
3 Pu 0.000 0.250 0.375 [24 per cell]
4 O 0.025 0.054 0.648 [96 per cell]

## Properties
**Formation energy without anion corrections**: -2.90 eV/atom
**Magnetization**: 176.0 Bohr magnetons per cell
**Fermi-level density of states**: 31.36 states/eV/f.u.
**ρ**: 8.03 Mg/m³

***

7.
Here is a relaxed SrPu2O11 crystal from Alexandria via LeMat-Bulk. Energies are from PBE-GGA.

Lattice parameters (Å, degrees): 13.571 11.207 8.869 90.00 129.80 90.00
Space group Cm (No. 8)
One atom of each set of equivalent atoms:
1 Sr 0.000 0.247 0.000 [4 per cell]
2 Pu 0.221 0.500 0.938 [2 per cell]
3 Pu 0.235 0.000 0.516 [2 per cell]
4 Pu 0.252 0.000 0.995 [2 per cell]
5 Pu 0.262 0.500 0.496 [2 per cell]
6 O 0.119 0.500 0.587 [2 per cell]
7 O 0.120 0.384 0.924 [4 per cell]
8 O 0.126 0.114 0.328 [4 per cell]
9 O 0.147 0.115 0.979 [4 per cell]
10 O 0.167 0.384 0.306 [4 per cell]
11 O 0.169 0.000 0.687 [2 per cell]
12 O 0.325 0.384 0.959 [4 per cell]
13 O 0.345 0.118 0.688 [4 per cell]
14 O 0.360 0.384 0.681 [4 per cell]
15 O 0.361 0.118 0.030 [4 per cell]
16 O 0.394 0.000 0.389 [2 per cell]
17 O 0.410 0.500 0.309 [2 per cell]
18 O 0.445 0.500 0.479 [2 per cell]
19 O 0.497 0.000 0.401 [2 per cell]

## Properties
**Formation energy without anion corrections**: -1.77 eV/atom
**Magnetization**: 8.0 Bohr magnetons per cell
**Fermi-level density of states**: 4.23 states/eV/f.u.
**ρ**: 4.82 Mg/m³

***

8.
Here is a relaxed Sr2Pu3O10 crystal from Alexandria via LeMat-Bulk. Energies are from PBE-GGA.

Lattice parameters (Å, degrees): 18.995 6.662 8.416 90.00 115.92 90.00
Space group C2/m (No. 12)
One atom of each set of equivalent atoms:
1 Sr 0.098 0.000 0.445 [4 per cell]
2 Sr 0.200 0.000 0.031 [4 per cell]
3 Pu 0.000 0.244 0.000 [4 per cell]
4 Pu 0.083 0.500 0.688 [4 per cell]
5 Pu 0.186 0.500 0.345 [4 per cell]
6 O 0.000 0.281 0.500 [4 per cell]
7 O 0.022 0.000 0.859 [4 per cell]
8 O 0.024 0.500 0.871 [4 per cell]
9 O 0.113 0.230 0.186 [8 per cell]
10 O 0.126 0.500 0.478 [4 per cell]
11 O 0.160 0.295 0.824 [8 per cell]
12 O 0.249 0.500 0.226 [4 per cell]
13 O 0.250 0.250 0.500 [4 per cell]

## Properties
**Formation energy without anion corrections**: -2.75 eV/atom
**Magnetization**: 13.4 Bohr magnetons per cell
**Fermi-level density of states**: 14.55 states/eV/f.u.
**ρ**: 7.40 Mg/m³

***

9.
Here is a relaxed Sr2Pu2O7 crystal from Alexandria via LeMat-Bulk. Energies are from PBE-GGA.

Lattice parameters (Å, degrees): 7.222 8.122 5.657 90.00 90.00 90.00
Space group Cmmm (No. 65)
One atom of each set of equivalent atoms:
1 Sr 0.249 0.000 0.000 [4 per cell]
2 Pu 0.000 0.228 0.500 [4 per cell]
3 O 0.000 0.000 0.279 [4 per cell]
4 O 0.000 0.500 0.500 [2 per cell]
5 O 0.250 0.250 0.271 [8 per cell]

## Properties
**Formation energy without anion corrections**: -2.79 eV/atom
**Magnetization**: 12.0 Bohr magnetons per cell
**Fermi-level density of states**: 10.55 states/eV/f.u.
**ρ**: 7.76 Mg/m³
**Polymorph energy (0 for the lowest one)**: 133.2 meV/atom

***

10.
Here is a relaxed SrPu2TaO8 crystal from Alexandria via LeMat-Bulk. Energies are from PBE-GGA.

Lattice parameters (Å, degrees): 5.050 6.970 5.056 90.00 91.16 90.00
Space group P2/m (No. 10)
One atom of each set of equivalent atoms:
1 Sr 0.000 0.000 0.000 [1 per cell]
2 Pu 0.500 0.255 0.500 [2 per cell]
3 Ta 0.000 0.500 0.000 [1 per cell]
4 O 0.195 0.294 0.193 [4 per cell]
5 O 0.290 0.500 0.708 [2 per cell]
6 O 0.330 0.000 0.668 [2 per cell]

## Properties
**Formation energy without anion corrections**: -2.89 eV/atom
**Magnetization**: 7.0 Bohr magnetons per cell
**Fermi-level density of states**: 9.68 states/eV/f.u.
**ρ**: 8.25 Mg/m³

***

11.
Here is a relaxed Sr2TbPuO6 crystal from Alexandria via LeMat-Bulk. Energies are from PBE-GGA.

Lattice parameters (Å, degrees): 5.978 6.110 10.407 90.00 124.99 90.00
Space group P2_1/c (No. 14)
One atom of each set of equivalent atoms:
1 Sr 0.239 0.044 0.251 [4 per cell]
2 Tb 0.500 0.000 0.000 [2 per cell]
3 Pu 0.000 0.000 0.500 [2 per cell]
4 O 0.141 0.213 0.945 [4 per cell]
5 O 0.237 0.697 0.950 [4 per cell]
6 O 0.340 0.037 0.742 [4 per cell]

## Properties
**Formation energy without anion corrections**: -3.08 eV/atom
**Magnetization**: 6.0 Bohr magnetons per cell
**Fermi-level density of states**: 10.04 states/eV/f.u.
**ρ**: 7.19 Mg/m³

***

12.
Here is a relaxed SrPuTc2O8 crystal from Alexandria via LeMat-Bulk. Energies are from PBE-GGA.

Lattice parameters (Å, degrees): 5.9551 5.9551 7.1739 90.00 90.00 120.00
Space group P-3 (No. 147)
One atom of each set of equivalent atoms:
1 Sr 0.0000 0.0000 0.0000 [1 per cell]
2 Pu 0.0000 0.0000 0.5000 [1 per cell]
3 Tc 0.3333 0.6667 0.7913 [2 per cell]
4 O 0.1619 0.3259 0.7122 [6 per cell]
5 O 0.3333 0.6667 0.0375 [2 per cell]

## Properties
**Formation energy without anion corrections**: -1.96 eV/atom
**Magnetization**: 8.0 Bohr magnetons per cell
**Fermi-level density of states**: 5.90 states/eV/f.u.
**ρ**: 4.94 Mg/m³

***

13.
Here is a relaxed Sr2PuTcO6 crystal from Alexandria via LeMat-Bulk. Energies are from PBE-GGA.

Lattice parameters (Å, degrees): 4.146 4.146 8.473 90.00 90.00 90.00
Space group P4/mmm (No. 123)
One atom of each set of equivalent atoms:
1 Sr 0.000 0.000 0.215 [2 per cell]
2 Pu 0.500 0.500 0.500 [1 per cell]
3 Tc 0.500 0.500 0.000 [1 per cell]
4 O 0.000 0.500 0.000 [2 per cell]
5 O 0.000 0.500 0.500 [2 per cell]
6 O 0.500 0.500 0.241 [2 per cell]

## Properties
**Formation energy without anion corrections**: -2.43 eV/atom
**Magnetization**: 4.5 Bohr magnetons per cell
**Fermi-level density of states**: 5.81 states/eV/f.u.
**ρ**: 6.99 Mg/m³

***

14.
Here is a relaxed SrPuTcO6 crystal from Alexandria via LeMat-Bulk. Energies are from PBE-GGA.

Lattice parameters (Å, degrees): 5.4681 5.4681 10.7529 90.00 90.00 120.00
Space group P-31c (No. 163)
One atom of each set of equivalent atoms:
1 Sr 0.0000 0.0000 0.0000 [2 per cell]
2 Pu 0.3333 0.6667 0.2500 [2 per cell]
3 Tc 0.3333 0.6667 0.7500 [2 per cell]
4 O 0.0207 0.3771 0.6474 [12 per cell]

## Properties
**Formation energy without anion corrections**: -2.33 eV/atom
**Magnetization**: 10.0 Bohr magnetons per cell
**Fermi-level density of states**: 7.37 states/eV/f.u.
**ρ**: 6.27 Mg/m³

***

15.
Here is a relaxed SrPuTeO6 crystal from Alexandria via LeMat-Bulk. Energies are from PBE-GGA.

Lattice parameters (Å, degrees): 5.7159 5.7159 10.4890 90.00 90.00 120.00
Space group P-31c (No. 163)
One atom of each set of equivalent atoms:
1 Sr 0.0000 0.0000 0.0000 [2 per cell]
2 Pu 0.3333 0.6667 0.2500 [2 per cell]
3 Te 0.3333 0.6667 0.7500 [2 per cell]
4 O 0.0059 0.3705 0.1446 [12 per cell]

## Properties
**Formation energy without anion corrections**: -2.15 eV/atom
**Magnetization**: 4.0 Bohr magnetons per cell
**Fermi-level density of states**: 6.75 states/eV/f.u.
**ρ**: 6.21 Mg/m³